The following is a DFT calculation (PBE-GGA) of crystalline PrZrSe2 at its relaxed geometry. Values from VASP.

Values from the calculation:
excess energy over the best structure of this formula in the dataset = 0.00 kcal/mol of atoms
raw formation energy = -1.42 eV per atom
N(E_F) = 3.0 states/eV/cell
mass density = 6744 kg/m3
total magnetic moment = 0.00 Bohr magnetons per cell
electronic total energy = -6.490 eV per atom

Quantum ESPRESSO input file:
```
&SYSTEM
  ibrav = 0, nat = 4, ntyp = 3
/
ATOMIC_SPECIES
Pr 140.91 Pr.upf
Zr 91.22 Zr.upf
Se 78.96 Se.upf
ATOMIC_POSITIONS angstrom
Pr 0.9358 5.4806 1.7546
Zr 2.7776 8.9270 2.9488
Se 3.6833 4.3929 1.6190
Se 0.2652 2.6361 0.8305
CELL_PARAMETERS angstrom
-1.5283 3.4744 -1.1162
-1.8017 2.3134 2.6561
5.0628 5.1020 1.9372
```

=====

The following is a DFT calculation (PBE-GGA) of crystalline Pb2SI at its relaxed geometry. Values from VASP.

Values from the calculation:
excess energy over the best structure of this formula in the dataset = 0.00 kcal/mol of atoms
raw formation energy = -0.37 eV per atom
N(E_F) = 3.9 states/eV/cell
mass density = 6899 kg/m3
total magnetic moment = 0.00 Bohr magnetons per cell
electronic total energy = -3.645 eV per atom

Quantum ESPRESSO input file:
```
&SYSTEM
  ibrav = 0, nat = 16, ntyp = 3
/
ATOMIC_SPECIES
Pb 207.20 Pb.upf
S 32.06 S.upf
I 126.90 I.upf
ATOMIC_POSITIONS angstrom
Pb 1.1968 6.0032 1.1826
Pb -0.5173 1.2907 1.1826
Pb 0.8814 -2.4132 9.6678
Pb 2.5954 2.2993 9.6678
Pb -1.0086 2.0592 6.7869
Pb -2.4073 5.7630 4.0635
Pb 3.0867 1.5308 4.0635
Pb 4.4854 -2.1730 6.7869
S 1.7384 -0.0569 2.3120
S 0.3397 3.6469 8.5384
S -3.1371 3.7608 7.4137
S 5.2153 -0.1708 3.4367
I 0.3397 3.6469 4.2142
I -1.7384 0.0569 9.3277
I 1.7384 -0.0569 6.6362
I 3.8166 3.5331 1.5227
CELL_PARAMETERS angstrom
6.9537 -0.2277 0.0000
-2.7974 7.4077 0.0000
-2.0782 -3.5900 10.8504
```

=====

The following is a DFT calculation (PBE-GGA) of crystalline Li2AlZn2 at its relaxed geometry. Values from VASP.

Values from the calculation:
energy relative to the elements = -0.525 eV/f.u.
excess energy over the best structure of this formula in the dataset = 2.01 kcal/mol of atoms
N(E_F) = 3.4 states/eV/cell
mass density = 3653 kg/m3
total magnetic moment = 0.00 Bohr magnetons per cell
electronic total energy = -2.129 eV per atom

Quantum ESPRESSO input file:
```
&SYSTEM
  ibrav = 0, nat = 10, ntyp = 3
/
ATOMIC_SPECIES
Zn 65.41 Zn.upf
Al 26.98 Al.upf
Li 6.94 Li.upf
ATOMIC_POSITIONS angstrom
Zn 2.5654 6.0491 0.0000
Zn 6.0491 4.4020 0.0000
Zn 4.4020 0.9183 0.0000
Zn 0.9183 2.5654 0.0000
Al 0.0000 0.0000 0.0000
Al 3.4837 3.4837 0.0000
Li 1.1556 4.6393 1.6075
Li 4.6393 5.8118 1.6075
Li 5.8118 2.3281 1.6075
Li 2.3281 1.1556 1.6075
CELL_PARAMETERS angstrom
6.9674 0.0000 0.0000
0.0000 6.9674 0.0000
0.0000 0.0000 3.2150
```

=====

The following is a DFT calculation (PBE-GGA) of crystalline ZnFe2 at its relaxed geometry. Values from VASP.

Values from the calculation:
energy relative to the elements = 0.338 eV/f.u.
N(E_F) = 4.9 states/eV/cell
mass density = 7922 kg/m3
total magnetic moment = 9.15 Bohr magnetons per cell
electronic total energy = -5.954 eV per atom

Quantum ESPRESSO input file:
```
&SYSTEM
  ibrav = 0, nat = 6, ntyp = 2
/
ATOMIC_SPECIES
Zn 65.41 Zn.upf
Fe 55.84 Fe.upf
ATOMIC_POSITIONS angstrom
Zn 2.1874 -3.8985 -2.7804
Zn 1.6215 0.8763 3.8659
Fe 4.0002 1.1462 4.9045
Fe -0.1913 -4.1685 -3.8190
Fe 0.7237 -1.6221 0.0601
Fe 3.0851 -1.4002 1.0254
CELL_PARAMETERS angstrom
1.1537 2.7493 6.4055
-1.5383 -4.7421 -5.0066
4.1935 -1.0294 -0.3134
```

=====

The following is a DFT calculation (PBE-GGA) of crystalline Ac2Sm8Dy3 at its relaxed geometry. Values from VASP.

Values from the calculation:
energy relative to the elements = 2.521 eV/f.u.
N(E_F) = 20.9 states/eV/cell
mass density = 7765 kg/m3
total magnetic moment = 0.00 Bohr magnetons per cell
electronic total energy = -4.404 eV per atom

Quantum ESPRESSO input file:
```
&SYSTEM
  ibrav = 0, nat = 13, ntyp = 3
/
ATOMIC_SPECIES
Ac 227.00 Ac.upf
Sm 150.36 Sm.upf
Dy 162.50 Dy.upf
ATOMIC_POSITIONS angstrom
Ac 2.9799 2.4594 3.5730
Ac 5.9620 5.7297 8.1709
Sm 3.0364 4.5799 6.2612
Sm 5.9055 3.6092 5.4828
Sm 6.2569 1.4513 2.8110
Sm 2.6850 6.7378 8.9330
Sm 5.3404 5.1559 2.5625
Sm 4.7700 0.5410 6.2148
Sm 4.1719 7.6481 5.5291
Sm 3.6015 3.0332 9.1814
Dy 3.0675 0.1530 0.6723
Dy 1.1174 1.6276 7.0310
Dy 1.6894 6.2556 3.3683
CELL_PARAMETERS angstrom
6.1350 0.3059 1.3446
1.9787 8.5956 1.5164
0.8282 -0.7124 8.8829
```

=====

The following is a DFT calculation (PBE-GGA) of crystalline ZrInFe2 at its relaxed geometry. Values from VASP.

Values from the calculation:
energy relative to the elements = -0.098 eV/f.u.
N(E_F) = 3.7 states/eV/cell
mass density = 7870 kg/m3
total magnetic moment = 4.53 Bohr magnetons per cell
electronic total energy = -7.077 eV per atom

Quantum ESPRESSO input file:
```
&SYSTEM
  ibrav = 0, nat = 4, ntyp = 3
/
ATOMIC_SPECIES
Fe 55.84 Fe.upf
In 114.82 In.upf
Zr 91.22 Zr.upf
ATOMIC_POSITIONS angstrom
Fe 0.2667 0.0360 0.0834
Fe 1.0301 -1.1438 2.1398
In 3.0252 0.4087 0.9466
Zr 4.8652 -0.6257 3.3398
CELL_PARAMETERS angstrom
-0.9666 0.3895 2.9211
0.2582 -3.0512 0.4923
6.5971 0.8913 2.0642
```

=====

Repeat the fifth record exactly.
The following is a DFT calculation (PBE-GGA) of crystalline Ac2Sm8Dy3 at its relaxed geometry. Values from VASP.

Values from the calculation:
energy relative to the elements = 2.521 eV/f.u.
N(E_F) = 20.9 states/eV/cell
mass density = 7765 kg/m3
total magnetic moment = 0.00 Bohr magnetons per cell
electronic total energy = -4.404 eV per atom

Quantum ESPRESSO input file:
```
&SYSTEM
  ibrav = 0, nat = 13, ntyp = 3
/
ATOMIC_SPECIES
Ac 227.00 Ac.upf
Sm 150.36 Sm.upf
Dy 162.50 Dy.upf
ATOMIC_POSITIONS angstrom
Ac 2.9799 2.4594 3.5730
Ac 5.9620 5.7297 8.1709
Sm 3.0364 4.5799 6.2612
Sm 5.9055 3.6092 5.4828
Sm 6.2569 1.4513 2.8110
Sm 2.6850 6.7378 8.9330
Sm 5.3404 5.1559 2.5625
Sm 4.7700 0.5410 6.2148
Sm 4.1719 7.6481 5.5291
Sm 3.6015 3.0332 9.1814
Dy 3.0675 0.1530 0.6723
Dy 1.1174 1.6276 7.0310
Dy 1.6894 6.2556 3.3683
CELL_PARAMETERS angstrom
6.1350 0.3059 1.3446
1.9787 8.5956 1.5164
0.8282 -0.7124 8.8829
```

=====

Question: Number 1 is which compound?
Answer: PrZrSe2